Material: RbCu2BiSe
Method: DFT, PBE-GGA
State: optimized geometry

Geometry as POSCAR:
```
RbCu2BiSe
1.0
4.8059 0.0000 0.0000
0.0000 4.8059 0.0000
0.0000 0.0000 6.4392
Rb Cu Bi Se
1 2 1 1
Cartesian
0.0000 0.0000 0.0000
0.0000 2.4029 3.2196
2.4029 0.0000 3.2196
2.4029 2.4029 0.0000
0.0000 0.0000 3.2196
```

Properties
Its crystal system is tetragonal. Its formation energy from raw total energies is 0.34 eV/atom. The calculation puts the density of states at the Fermi level at 0.469 states/eV/atom.